1.
The following is a PBE calculation of a relaxed structure of MnRu2Br, from Alexandria via LeMat-Bulk.

Cell and atoms, written as POSCAR:
```
MnRu2Br
1.0
2.8941 0.0000 0.0000
0.0000 4.7184 0.0000
0.0000 0.0000 4.5127
Ru Mn Br
2 1 1
Cartesian
0.0000 0.0000 0.0000 Ru
1.4470 2.3592 0.0000 Ru
0.0000 2.3592 2.2564 Mn
1.4470 0.0000 2.2564 Br
```

Computed properties:
crystal system	orthorhombic
raw formation energy	0.78	eV per atom
density	9.08	g/cm3
density of states at the Fermi level	4.75	states/eV/cell

2.
The following is a PBE calculation of a relaxed structure of HPdCl3, from Alexandria via LeMat-Bulk.

Cell and atoms, written as POSCAR:
```
HPdCl3
1.0
-0.8797 3.7920 -2.0183
1.5429 -1.6438 -3.7608
-4.0090 -1.4647 -1.0045
H Cl Pd
1 3 1
Cartesian
0.0000 0.0000 0.0000 H
0.7715 -0.8219 -1.8804 Cl
-2.0045 -0.7323 -0.5023 Cl
-0.4398 1.8960 -1.0092 Cl
-1.6729 0.3417 -3.3918 Pd
```

Computed properties:
crystal system	cubic
final energy	-2.165	eV/atom
density	4.21	g/cm3
density of states at the Fermi level	3.20	states/eV/cell

3.
The following is a PBE calculation of a relaxed structure of BaSr2In, from Alexandria via LeMat-Bulk.

Cell and atoms, written as POSCAR:
```
BaSr2In
1.0
12.6623 0.0196 0.0116
11.9485 4.1915 0.0116
11.9485 2.0445 3.6590
Sr Ba In
2 1 1
Cartesian
17.6831 3.0257 1.7810 Sr
0.5965 0.1021 0.0601 Sr
9.1398 1.5639 0.9205 Ba
27.4194 4.6917 2.7616 In
```

Computed properties:
crystal system	trigonal
density	3.68	g/cm3
density of states at the Fermi level	3.67	states/eV/cell
formation energy from the elements	-0.11	eV/atom